1.
The following is a DFT calculation (GGA-PBE) of a relaxed structure of Ac3Pr2Tl4In2.

The structure in POSCAR format:
```
Ac3Pr2Tl4In2
1.0
5.2098 0.0000 0.0000
-2.6049 4.5118 0.0000
0.0000 0.0000 16.3148
Ac Pr Tl In
3 2 4 2
Cartesian
0.0000 0.0000 0.0000
0.0000 0.0000 4.2294
0.0000 0.0000 12.0854
0.0000 3.0079 9.2046
2.6049 1.5039 7.1102
0.0000 3.0079 5.8694
0.0000 3.0079 14.6372
2.6049 1.5039 1.6776
2.6049 1.5039 10.4454
0.0000 3.0079 2.4324
2.6049 1.5039 13.8824
```

Computed properties:
**DOS at the Fermi energy**: 11.3 states/eV per cell
**Space-group type**: P-3m1 (164)
**ΔE_f**: -2.66 eV/f.u.

2.
The following is a DFT calculation (GGA-PBE) of a relaxed structure of Ge3MoS.

The structure in POSCAR format:
```
Ge3MoS
1.0
4.9006 0.0000 0.0000
0.0000 4.9006 0.0000
0.0000 0.0000 4.9006
Ge Mo S
3 1 1
Cartesian
0.0000 0.0000 2.4503
0.0000 2.4503 0.0000
2.4503 0.0000 0.0000
0.0000 0.0000 0.0000
2.4503 2.4503 2.4503
```

Computed properties:
**ΔE to the lowest computed polymorph**: 0.0 meV per atom
**Formation energy from raw total energies**: 556 meV/atom
**DOS at the Fermi energy**: 4.4 states/eV per cell
**Space-group type**: Pm-3m (221)

3.
The following is a DFT calculation (GGA-PBE) of a relaxed structure of Ga2Cu3Au6.

The structure in POSCAR format:
```
Ga2Cu3Au6
1.0
-1.9820 1.9820 12.5853
1.9820 -1.9820 12.5853
1.9820 1.9820 -12.5853
Ga Cu Au
2 3 6
Cartesian
0.0000 0.0000 3.7650
0.0000 0.0000 21.4057
0.0000 0.0000 8.9030
0.0000 0.0000 12.5853
0.0000 0.0000 16.2677
1.9820 0.0000 1.7583
0.0000 0.0000 6.3125
1.9820 0.0000 10.8270
0.0000 1.9820 1.7583
0.0000 0.0000 18.8582
0.0000 1.9820 10.8270
```

Computed properties:
**ΔE to the lowest computed polymorph**: 142.1 meV per atom
**DOS at the Fermi energy**: 4.3 states/eV per cell
**Space-group type**: I4/mmm (139)
**ΔE_f**: 0.66 eV/f.u.

4.
The following is a DFT calculation (GGA-PBE) of a relaxed structure of HoGa3Pd2.

The structure in POSCAR format:
```
HoGa3Pd2
1.0
4.6852 -4.0756 0.0000
4.6852 4.0756 0.0000
0.0000 0.0000 5.6658
Ho Ga Pd
2 6 4
Cartesian
4.6852 2.8551 4.2494
4.6852 -2.8551 1.4165
3.2587 2.2828 1.4165
6.1116 2.2828 1.4165
4.6852 0.1307 1.4165
4.6852 -0.1307 4.2494
3.2587 -2.2828 4.2494
6.1116 -2.2828 4.2494
2.5223 0.0000 0.0000
2.5223 0.0000 2.8329
6.8480 0.0000 0.0000
6.8480 0.0000 2.8329
```

Computed properties:
**DOS at the Fermi energy**: 4.6 states/eV per cell
**Space-group type**: Cmcm (63)
**ΔE_f**: -4.01 eV/f.u.

5.
The following is a DFT calculation (GGA-PBE) of a relaxed structure of CeGa4Pd2Au.

The structure in POSCAR format:
```
CeGa4Pd2Au
1.0
2.1680 1.2517 9.0515
-2.1680 1.2517 9.0515
0.0000 -2.5033 9.0515
Ce Ga Pd Au
1 4 2 1
Cartesian
0.0000 0.0000 0.0000
0.0000 0.0000 3.3389
0.0000 0.0000 10.7781
0.0000 0.0000 16.3766
0.0000 0.0000 23.8157
0.0000 0.0000 6.6468
0.0000 0.0000 20.5078
0.0000 0.0000 13.5773
```

Computed properties:
**DOS at the Fermi energy**: 7.1 states/eV per cell
**Space-group type**: R-3m (166)
**ΔE_f**: -4.11 eV/f.u.

6.
The following is a DFT calculation (GGA-PBE) of a relaxed structure of Na2PaIO8.

The structure in POSCAR format:
```
Na2PaIO8
1.0
5.1363 0.0000 0.0000
0.0000 6.8759 0.0000
-0.2918 0.0000 5.1286
Na Pa I O
2 1 1 8
Cartesian
0.0000 1.6393 0.0000
0.0000 5.2366 0.0000
2.4223 3.4380 2.5643
2.4223 0.0000 2.5643
1.0984 3.4380 1.1731
1.1454 0.0000 1.2311
1.4867 1.4071 3.4601
1.4867 5.4688 3.4601
3.3578 1.4071 1.6686
3.3578 5.4688 1.6686
3.6991 0.0000 3.8975
3.7461 3.4380 3.9555
```

Computed properties:
**Formation energy from raw total energies**: -1432 meV/atom
**DOS at the Fermi energy**: 3.5 states/eV per cell
**Space-group type**: P2/m (10)

7.
The following is a DFT calculation (GGA-PBE) of a relaxed structure of PuScU.

The structure in POSCAR format:
```
PuScU
1.0
-1.7212 1.7212 5.5630
1.7212 -1.7212 5.5630
1.7212 1.7212 -5.5630
Pu Sc U
1 1 1
Cartesian
0.0000 0.0000 0.0000
0.0000 0.0000 7.8023
0.0000 0.0000 4.5951
```

Computed properties:
**ΔE to the lowest computed polymorph**: 22.2 meV per atom
**DOS at the Fermi energy**: 8.4 states/eV per cell
**Space-group type**: I4mm (107)
**ΔE_f**: 0.64 eV/f.u.

8.
The following is a DFT calculation (GGA-PBE) of a relaxed structure of LiCa3Sc3Te8.

The structure in POSCAR format:
```
LiCa3Sc3Te8
1.0
4.2732 2.4671 7.1664
-4.2732 2.4671 7.1664
0.0000 -4.9342 7.1664
Li Ca Sc Te
1 3 3 8
Cartesian
0.0000 0.0000 0.0000
-4.2732 0.0000 10.7495
-2.1366 1.2336 3.5832
2.1366 1.2336 3.5832
-2.1366 -1.2336 7.1664
-2.1366 1.2336 14.3327
0.0000 2.4671 7.1664
0.0000 -2.3967 8.8115
-2.0756 1.1983 8.8115
0.0000 0.0000 5.5177
-2.0756 -1.1983 12.6876
2.0756 1.1983 8.8115
0.0000 0.0000 15.9814
2.0756 -1.1983 12.6876
0.0000 2.3967 12.6876
```

Computed properties:
**Formation energy from raw total energies**: -1289 meV/atom
**DOS at the Fermi energy**: 1.1 states/eV per cell
**Space-group type**: R-3m (166)

9.
The following is a DFT calculation (GGA-PBE) of a relaxed structure of SrZn4In.

The structure in POSCAR format:
```
SrZn4In
1.0
-2.0840 3.8968 4.1823
2.0840 -3.8968 4.1823
2.0840 3.8968 -4.1823
Sr Zn In
1 4 1
Cartesian
0.0000 0.0000 0.0000
2.0840 2.2525 -1.3207
2.0840 2.2525 1.3207
0.0000 1.6443 2.8616
0.0000 1.6443 5.5030
0.0000 3.8968 0.0000
```

Computed properties:
**ΔE to the lowest computed polymorph**: 47.2 meV per atom
**DOS at the Fermi energy**: 2.6 states/eV per cell
**Space-group type**: Immm (71)
**ΔE_f**: -0.43 eV/f.u.

10.
The following is a DFT calculation (GGA-PBE) of a relaxed structure of TmPdAu4.

The structure in POSCAR format:
```
TmPdAu4
1.0
3.6359 -4.2717 0.0000
3.6359 4.2717 0.0000
-2.9642 0.0000 3.6178
Tm Pd Au
1 1 4
Cartesian
0.0000 0.0000 0.0000
2.1538 0.0000 1.8089
-0.3887 1.3903 2.7257
-0.3887 -1.3903 2.7257
4.6963 1.3903 0.8922
4.6963 -1.3903 0.8922
```

Computed properties:
**ΔE to the lowest computed polymorph**: 0.0 meV per atom
**DOS at the Fermi energy**: 2.4 states/eV per cell
**Space-group type**: C2/m (12)
**ΔE_f**: -3.08 eV/f.u.

11.
The following is a DFT calculation (GGA-PBE) of a relaxed structure of HoMgZrMn.

The structure in POSCAR format:
```
HoMgZrMn
1.0
0.0000 3.5029 3.5029
3.5029 0.0000 3.5029
3.5029 3.5029 0.0000
Ho Mg Zr Mn
1 1 1 1
Cartesian
0.0000 0.0000 0.0000
5.2544 5.2544 5.2544
3.5029 3.5029 3.5029
1.7515 1.7515 1.7515
```

Computed properties:
**DOS at the Fermi energy**: 4.8 states/eV per cell
**Space-group type**: F-43m (216)
**ΔE_f**: 0.61 eV/f.u.

12.
The following is a DFT calculation (GGA-PBE) of a relaxed structure of Ba2TlHg.

The structure in POSCAR format:
```
Ba2TlHg
1.0
-4.6663 4.6663 4.1272
4.6663 -4.6663 4.1272
4.6663 4.6663 -4.1272
Ba Tl Hg
4 2 2
Cartesian
6.9994 2.2121 -1.0318
2.2121 2.3331 1.0318
-2.3331 2.4542 3.0954
2.4542 2.3331 5.1589
4.6663 0.0000 2.0636
0.0000 0.0000 4.1272
0.0000 0.0000 0.0000
0.0000 4.6663 2.0636
```

Computed properties:
**DOS at the Fermi energy**: 15.2 states/eV per cell
**Space-group type**: I-42d (122)
**ΔE_f**: -0.73 eV/f.u.

Which of these has the lowest DOS at the Fermi energy?
LiCa3Sc3Te8